A plane-wave DFT calculation with PBE was carried out for an optimized crystal structure of TaTlBPt2.

Summary:
ΔH_f (0 K), eV per formula unit: 4.8
Total magnetization, μB/cell: 0.00
Symmetry: P4/mmm
Crystal system: tetragonal
VASP energy, eV/cell: -28.17

Unit cell a=5.004 b=4.437 c=5.004 alpha=90.00 beta=90.00 gamma=90.00
Element x y z (fractional)
Tl 0.500 0.500 0.500
B 0.000 0.500 0.000
Pt 0.000 0.000 0.500
Pt 0.500 0.000 0.000
Ta 0.000 0.000 0.000

A plane-wave DFT calculation with PBE was carried out for an optimized crystal structure of TaB2PtW.

Summary:
ΔH_f (0 K), eV per formula unit: 7.3
Total magnetization, μB/cell: 0.00
Symmetry: P4/mmm
Crystal system: tetragonal
VASP energy, eV/cell: -36.93

Unit cell a=4.103 b=5.025 c=4.103 alpha=90.00 beta=90.00 gamma=90.00
Element x y z (fractional)
B 0.000 0.000 0.500
B 0.500 0.000 0.000
W 0.000 0.000 0.000
Pt 0.500 0.500 0.500
Ta 0.000 0.500 0.000

A plane-wave DFT calculation with PBE was carried out for an optimized crystal structure of Zr2TaBPt.

Summary:
ΔH_f (0 K), eV per formula unit: 8.0
Total magnetization, μB/cell: 0.00
Symmetry: P4/mmm
Crystal system: tetragonal
VASP energy, eV/cell: -33.68

Unit cell a=5.109 b=4.767 c=5.109 alpha=90.00 beta=90.00 gamma=90.00
Element x y z (fractional)
B 0.500 0.500 0.500
Zr 0.000 0.000 0.500
Zr 0.500 0.000 0.000
Pt 0.000 0.500 0.000
Ta 0.000 0.000 0.000